The following is a PBE calculation of a relaxed Dy4Y3Pu crystal, from Alexandria via LeMat-Bulk.

Calculated values
formation energy: 451 meV per atom
space-group type: No. 65

Unit cell a=3.3650 b=8.7889 c=8.7890 alpha=96.48 beta=90.00 gamma=90.00
Closest atoms and distances in Å follow each position.
Positions (direct):
Y (0.0000, 0.0000, 0.5000)  6 Dy 3.28-3.38, 2 Y 3.36
Y (0.5000, 0.5000, 0.5000)  2 Y 3.36, 6 Dy 3.40-3.53
Y (0.0000, 0.5000, 0.0000)  6 Dy 3.28-3.38, 2 Y 3.36
Pu (0.5000, 0.0000, 0.0000)  6 Dy 3.15-3.22, 2 Pu 3.36
Dy (0.0000, 0.7651, 0.7651)  2 Pu 3.22, 4 Y 3.28-3.53, 2 Dy 3.36
Dy (0.5000, 0.2405, 0.7595)  1 Pu 3.15, 2 Dy 3.36, 5 Y 3.38-3.40
Dy (0.0000, 0.2349, 0.2349)  2 Pu 3.22, 4 Y 3.28-3.53, 2 Dy 3.36
Dy (0.5000, 0.7595, 0.2405)  1 Pu 3.15, 2 Dy 3.36, 5 Y 3.38-3.40

The following is a PBE calculation of a relaxed Li2YZr crystal, from Alexandria via LeMat-Bulk.

Calculated values
E above lowest polymorph: 0.196 eV/atom
formation energy: 334 meV per atom
space-group type: No. 65

Unit cell a=5.6198 b=5.6198 c=3.0775 alpha=90.00 beta=90.00 gamma=111.77
Closest atoms and distances in Å follow each position.
Positions (direct):
Li (0.0000, 0.0000, 0.0000)  4 Li 3.08-3.15, 4 Y 3.20, 4 Zr 3.20
Li (0.5000, 0.5000, 0.0000)  4 Li 3.08-3.15, 4 Zr 3.20, 4 Y 3.20
Y (0.5000, 0.0000, 0.5000)  2 Y 3.08, 2 Zr 3.15, 8 Li 3.20
Zr (0.0000, 0.5000, 0.5000)  2 Zr 3.08, 2 Y 3.15, 8 Li 3.20

The following is a PBE calculation of a relaxed BaTlIn2F crystal, from Alexandria via LeMat-Bulk.

Calculated values
space-group type: No. 123
E_form (uncorrected): -335 meV/atom

Unit cell a=5.8512 b=7.1237 c=5.8512 alpha=90.00 beta=90.00 gamma=90.00
Closest atoms and distances in Å follow each position.
Positions (direct):
Tl (0.0000, 0.0000, 0.0000)  4 In 2.93
F (0.5000, 0.5000, 0.5000)  4 Ba 4.14, 8 In 4.61
Ba (0.0000, 0.5000, 0.0000)  2 Tl 3.56
In (0.0000, 0.0000, 0.5000)  2 Tl 2.93
In (0.5000, 0.0000, 0.0000)  2 Tl 2.93

| no. | V (Å³/atom) | Fermi-level density of states (states/eV per cell) | total DFT energy (no corrections) (eV per atom) |
| --- | --- | --- | --- |
| 1 | 32.3 | 20.3 | -6.07 |
| 2 | 22.6 | 4.0 | -4.38 |
| 3 | 48.8 | 2.3 | -2.66 |